one:
A relaxed K2VNi crystal. Source: the Alexandria database, functional PBE-GGA.

CIF file:
```
data_K2VNi
_cell_length_a 7.892
_cell_length_b 7.892
_cell_length_c 7.892
_cell_angle_alpha 90.00
_cell_angle_beta 90.00
_cell_angle_gamma 90.00
_symmetry_space_group_name_H-M 'F m -3 m'
_symmetry_Int_Tables_number 225
_symmetry_space_group_name_Hall '-F 4 2 3'
loop_
_atom_site_label
_atom_site_fract_x
_atom_site_fract_y
_atom_site_fract_z
K1 0.250 0.250 0.250
V1 0.000 0.000 0.000
Ni1 0.000 0.000 0.500
```


two:
A relaxed K2VNi crystal. Source: the Alexandria database, functional PBE-GGA.

CIF file:
```
data_K2VNi
_cell_length_a 12.285
_cell_length_b 12.285
_cell_length_c 4.549
_cell_angle_alpha 90.00
_cell_angle_beta 90.00
_cell_angle_gamma 90.00
_symmetry_space_group_name_H-M 'I -4 2 d'
_symmetry_Int_Tables_number 122
_symmetry_space_group_name_Hall 'I -4 2bw'
loop_
_atom_site_label
_atom_site_fract_x
_atom_site_fract_y
_atom_site_fract_z
K1 0.075 0.250 0.125
V1 0.000 0.000 0.500
Ni1 0.000 0.000 0.000
```


Which structure is the least stable? The one labeled one.